<a>
DFT (PBE) results for an optimized crystal structure of NaEr2C.

Properties
* theoretical density: 6.68 g/cm3
* magnetization: 0.00 Bohr magnetons per cell

The structure in CIF format:
```
data_NaEr2C
_space_group_name_H-M_alt 'P 4/m m m'
_space_group_IT_number 123
_space_group_name_Hall '-P 4 2'
_cell_length_a 3.157
_cell_length_b 3.157
_cell_length_c 9.214
_cell_angle_alpha 90.00
_cell_angle_beta 90.00
_cell_angle_gamma 90.00
loop_
_atom_site_label
_atom_site_type_symbol
_atom_site_fract_x
_atom_site_fract_y
_atom_site_fract_z
Na1 Na 0.000 0.000 0.000
Er1 Er 0.500 0.500 0.352
C1 C 0.000 0.000 0.500
```

---

<b>
DFT (PBE) results for an optimized crystal structure of NaEr2C.

Properties
* theoretical density: 5.83 g/cm3
* magnetization: 0.00 Bohr magnetons per cell

The structure in CIF format:
```
data_NaEr2C
_space_group_name_H-M_alt 'R -3 m'
_space_group_IT_number 166
_space_group_name_Hall '-R 3 2"'
_cell_length_a 3.5206
_cell_length_b 3.5206
_cell_length_c 29.4127
_cell_angle_alpha 90.00
_cell_angle_beta 90.00
_cell_angle_gamma 120.00
loop_
_atom_site_label
_atom_site_type_symbol
_atom_site_fract_x
_atom_site_fract_y
_atom_site_fract_z
Na1 Na 0.0000 0.0000 0.0000
Er1 Er 0.0000 0.0000 0.1216
C1 C 0.0000 0.0000 0.5000
```

---

The structure with the greatest stability is <b>.